A relaxed structure of Pm2ZnCu6Ni. Source: Alexandria via LeMat-Bulk, functional GGA-PBE.

Geometry as CIF:
```
data_Pm2ZnCu6Ni
_cell_length_a 11.856
_cell_length_b 4.856
_cell_length_c 8.471
_cell_angle_alpha 90.00
_cell_angle_beta 134.36
_cell_angle_gamma 90.00
_symmetry_space_group_name_H-M 'C 1 2/m 1'
_symmetry_Int_Tables_number 12
loop_
_symmetry_equiv_pos_as_xyz
'x,y,z'
'-x,-y,-z'
'-x,y,-z'
'x,-y,z'
'x+1/2,y+1/2,z'
'-x+1/2,-y+1/2,-z'
'-x+1/2,y+1/2,-z'
'x+1/2,-y+1/2,z'
loop_
_atom_site_label
_atom_site_type_symbol
_atom_site_fract_x
_atom_site_fract_y
_atom_site_fract_z
_atom_site_occupancy
Pm1 Pm 0.235 0.000 0.196 1
Zn1 Zn 0.000 0.000 0.500 1
Cu1 Cu 0.008 0.251 0.257 1
Cu2 Cu 0.248 0.500 0.418 1
Ni1 Ni 0.000 0.500 0.000 1
```

Calculated values
**DFT total energy**: -4.22 eV per atom
**Size of the total moment**: 0.0 μB per formula unit
**Crystal system**: monoclinic
**Formation energy from the elements**: -10.5 kJ per mole of atoms